(1)
4
Lattice="-1.6354 -2.7493 2.3076 3.3135 -2.0634 -0.1100 1.2839 1.8929 3.1651" Properties=species:S:1:pos:R:3 comment="PBE NbIr2Ru, optimized geometry" formation_enthalpy_0k_ev_per_atom=-0.48 dft_energy_ev_per_atom=-9.7498 de_polymorph_mev_per_atom=0 pbc="T T T"
Ru -0.8177 -1.3746 1.1538
Nb 1.4810 -1.4599 2.6813
Ir 0.6419 0.9465 1.5825
Ir 1.6568 -1.0317 -0.0550

(2)
9
Lattice="-2.8736 -1.4024 -2.2295 -4.4371 -2.1540 3.6662 -4.0298 4.6281 -1.1247" Properties=species:S:1:pos:R:3 comment="PBE Nb2IrRu6, optimized geometry" formation_enthalpy_0k_ev_per_atom=-0.10 dft_energy_ev_per_atom=-9.5080 pbc="T T T"
Nb -6.4755 2.1901 0.1534
Nb -4.8650 -1.1184 0.1586
Ir -4.2335 1.2370 1.2707
Ru -8.9968 1.1057 0.6776
Ru -2.3437 -0.0340 -0.3656
Ru -7.2734 -2.4348 0.6833
Ru -6.7160 0.0306 1.8216
Ru -4.0671 3.5065 -0.3712
Ru -4.6245 1.0411 -1.5096

(3)
12
Lattice="-3.0133 0.2807 -3.8502 2.6946 -4.2394 -2.4179 -5.5678 -2.2643 4.1920" Properties=species:S:1:pos:R:3 comment="PBE NbIr3Ru2, optimized geometry" formation_enthalpy_0k_ev_per_atom=0.06 dft_energy_ev_per_atom=-9.1427 pbc="T T T"
Nb -5.1921 -2.8352 -0.8153
Nb -0.6944 -3.3878 -1.2609
Ir -3.8778 -4.9892 -2.0009
Ir -2.0086 -1.2338 -0.0753
Ir -1.7576 -4.5384 -3.6272
Ir -4.1289 -1.6845 1.5510
Ir -3.0987 -2.4284 -2.4237
Ir -2.7877 -3.7946 0.3475
Ru 2.0621 -3.2443 -1.8504
Ru -0.8742 -0.8547 -2.4927
Ru 0.6325 -0.9951 -0.5675
Ru 0.5555 -3.1040 -3.7755

Repeat the first record exactly.
4
Lattice="-1.6354 -2.7493 2.3076 3.3135 -2.0634 -0.1100 1.2839 1.8929 3.1651" Properties=species:S:1:pos:R:3 comment="PBE NbIr2Ru, optimized geometry" formation_enthalpy_0k_ev_per_atom=-0.48 dft_energy_ev_per_atom=-9.7498 de_polymorph_mev_per_atom=0 pbc="T T T"
Ru -0.8177 -1.3746 1.1538
Nb 1.4810 -1.4599 2.6813
Ir 0.6419 0.9465 1.5825
Ir 1.6568 -1.0317 -0.0550